The following is a PBE calculation of a relaxed structure of Cu12Bi3Au5, from Alexandria.

Output
- density (g/cm3) = 9.2
- DFT formation energy (eV/atom) = 0.45

abc: 15.054 15.054 15.054
angles: 90.00 90.00 90.00
Space group Ia-3d (No. 230)
Inequivalent atoms, fractional coordinates:
Cu 0.006 0.074 0.652 [96 per cell]
Bi 0.000 0.250 0.125 [24 per cell]
Au 0.000 0.000 0.000 [16 per cell]
Au 0.000 0.250 0.375 [24 per cell]